[1]
La5NiTe2: relaxed, GGA-PBE.

Geometry as POSCAR:
```
La5NiTe2
1.0
4.610 0.000 0.000
0.000 8.351 0.000
0.000 0.000 12.808
La Ni Te
10 2 4
direct
0.000 0.000 0.500 La
0.000 0.500 0.000 La
0.000 0.871 0.198 La
0.000 0.129 0.802 La
0.000 0.629 0.698 La
0.000 0.371 0.302 La
0.500 0.694 0.440 La
0.500 0.306 0.560 La
0.500 0.806 0.940 La
0.500 0.194 0.060 La
0.000 0.500 0.500 Ni
0.000 0.000 0.000 Ni
0.500 0.585 0.176 Te
0.500 0.415 0.824 Te
0.500 0.915 0.676 Te
0.500 0.085 0.324 Te
```

As for the theoretical density: 6.8 g/cm3. The calculation puts the raw formation energy at -0.8622 eV per atom. Its spin magnetization is 0.000 μB per atom.

---

[2]
Ac3Gd: relaxed, GGA-PBE.

Geometry as POSCAR:
```
Ac3Gd
1.0
4.566 0.000 0.000
0.000 4.566 0.000
-2.283 -2.283 8.961
Ac Gd
3 1
direct
0.500 0.500 0.000 Ac
0.182 0.182 0.363 Ac
0.818 0.818 0.637 Ac
0.000 0.000 0.000 Gd
```

The value obtained for the formation energy from the elements is 55.83 kJ per mole of atoms. As for the theoretical density: 7.5 g/cm3. Its spin magnetization is 2.256 μB per atom.

---

[3]
CsSr2Rh2: relaxed, GGA-PBE.

Geometry as POSCAR:
```
CsSr2Rh2
1.0
-1.905 4.415 7.561
-8.667 0.147 -2.270
-0.496 -3.113 1.693
Cs Sr Rh
2 4 4
direct
0.000 0.000 0.000 Cs
0.500 0.500 0.000 Cs
0.142 0.642 0.500 Sr
0.642 0.858 0.500 Sr
0.858 0.358 0.500 Sr
0.358 0.142 0.500 Sr
0.355 0.855 0.000 Rh
0.855 0.645 0.000 Rh
0.645 0.145 0.000 Rh
0.145 0.355 0.000 Rh
```

The value obtained for the formation energy from the elements is 16.38 kJ per mole of atoms. As for the theoretical density: 5.9 g/cm3. Its spin magnetization is 0.000 μB per atom.